(1)
! Pr2YSb, relaxed, DFT GGA-PBE; values from VASP
&SYSTEM
  ibrav = 0, nat = 4, ntyp = 3
/
ATOMIC_SPECIES
Pr 140.91 Pr.upf
Sb 121.76 Sb.upf
Y 88.91 Y.upf
CELL_PARAMETERS angstrom
-4.811 -0.423 -1.324
1.146 -3.674 -2.990
-0.719 -3.176 3.627
ATOMIC_POSITIONS crystal
Pr 0.000 0.500 0.000
Pr 0.000 0.000 0.500
Sb 0.500 0.500 0.500
Y 0.500 0.000 0.000
! ρ: 6.9 g cm⁻³
! Energy above the lowest structure with this stoichiometry: 0 meV per atom
! Density of states at the Fermi level: 0.86 states/eV/atom
! Uncorrected energy: -22.2 eV per formula unit
! Magnetic moment: 0.000 μB/atom

***

(2)
! PrY2Sb, relaxed, DFT GGA-PBE; values from VASP
&SYSTEM
  ibrav = 0, nat = 4, ntyp = 3
/
ATOMIC_SPECIES
Y 88.91 Y.upf
Pr 140.91 Pr.upf
Sb 121.76 Sb.upf
CELL_PARAMETERS angstrom
3.991 0.000 0.000
0.000 3.991 0.000
0.000 0.000 7.527
ATOMIC_POSITIONS crystal
Y 0.000 0.000 0.284
Y 0.000 0.000 0.716
Pr 0.500 0.500 0.000
Sb 0.500 0.500 0.500
! ρ: 6.1 g cm⁻³
! Energy above the lowest structure with this stoichiometry: 101 meV per atom
! Density of states at the Fermi level: 1.22 states/eV/atom
! Uncorrected energy: -23.8 eV per formula unit
! Magnetic moment: 0.000 μB/atom

***

(3)
! Pr2Y3Sb2, relaxed, DFT GGA-PBE; values from VASP
&SYSTEM
  ibrav = 0, nat = 7, ntyp = 3
/
ATOMIC_SPECIES
Pr 140.91 Pr.upf
Y 88.91 Y.upf
Sb 121.76 Sb.upf
CELL_PARAMETERS angstrom
4.320 0.000 0.000
-2.160 6.179 -0.099
0.000 -2.947 8.254
ATOMIC_POSITIONS crystal
Pr 0.862 0.724 0.202
Pr 0.138 0.276 0.798
Y 0.375 0.750 0.552
Y 0.625 0.250 0.448
Y 0.500 0.000 0.000
Sb 0.834 0.668 0.793
Sb 0.166 0.332 0.207
! ρ: 6.0 g cm⁻³
! Density of states at the Fermi level: 1.36 states/eV/atom
! Uncorrected energy: -42.0 eV per formula unit
! Magnetic moment: 0.000 μB/atom

***

(4)
! Pr3YSb4, relaxed, DFT GGA-PBE; values from VASP
&SYSTEM
  ibrav = 0, nat = 16, ntyp = 3
/
ATOMIC_SPECIES
Pr 140.91 Pr.upf
Sb 121.76 Sb.upf
Y 88.91 Y.upf
CELL_PARAMETERS angstrom
7.824 0.069 0.000
-2.677 7.348 0.000
0.000 0.000 9.054
ATOMIC_POSITIONS crystal
Pr 0.250 0.500 0.876
Pr 0.750 0.000 0.374
Pr 0.250 0.000 0.626
Pr 0.750 0.500 0.626
Pr 0.250 0.500 0.374
Pr 0.750 0.500 0.124
Sb 0.500 0.757 0.121
Sb 0.000 0.757 0.879
Sb 0.996 0.247 0.629
Sb 0.004 0.753 0.371
Sb 0.500 0.243 0.879
Sb 0.000 0.243 0.121
Sb 0.504 0.753 0.629
Sb 0.496 0.247 0.371
Y 0.250 0.000 0.125
Y 0.750 0.000 0.875
! ρ: 6.4 g cm⁻³
! Density of states at the Fermi level: 0.07 states/eV/atom
! Uncorrected energy: -46.7 eV per formula unit
! Magnetic moment: 0.000 μB/atom

***

(5)
! Pr2YSb, relaxed, DFT GGA-PBE; values from VASP
&SYSTEM
  ibrav = 0, nat = 4, ntyp = 3
/
ATOMIC_SPECIES
Sb 121.76 Sb.upf
Pr 140.91 Pr.upf
Y 88.91 Y.upf
CELL_PARAMETERS angstrom
-1.983 3.188 1.764
-3.190 -0.701 2.558
4.396 0.467 8.975
ATOMIC_POSITIONS crystal
Sb 0.667 0.667 0.000
Pr 0.069 0.069 0.794
Pr 0.265 0.265 0.205
Y 0.500 0.500 0.501
! ρ: 5.6 g cm⁻³
! Energy above the lowest structure with this stoichiometry: 181 meV per atom
! Density of states at the Fermi level: 1.10 states/eV/atom
! Uncorrected energy: -21.5 eV per formula unit
! Magnetic moment: 0.279 μB/atom

***

(6)
! PrY2Sb, relaxed, DFT GGA-PBE; values from VASP
&SYSTEM
  ibrav = 0, nat = 8, ntyp = 3
/
ATOMIC_SPECIES
Sb 121.76 Sb.upf
Y 88.91 Y.upf
Pr 140.91 Pr.upf
CELL_PARAMETERS angstrom
4.174 0.000 0.000
-2.087 6.243 0.000
0.000 0.000 9.622
ATOMIC_POSITIONS crystal
Sb 0.763 0.526 0.750
Sb 0.237 0.474 0.250
Y 0.362 0.724 0.543
Y 0.638 0.276 0.043
Y 0.362 0.724 0.957
Y 0.638 0.276 0.457
Pr 0.057 0.114 0.750
Pr 0.943 0.886 0.250
! ρ: 5.8 g cm⁻³
! Energy above the lowest structure with this stoichiometry: 0 meV per atom
! Density of states at the Fermi level: 1.40 states/eV/atom
! Uncorrected energy: -24.2 eV per formula unit
! Magnetic moment: 0.233 μB/atom

***

(7)
! PrY2Sb3, relaxed, DFT GGA-PBE; values from VASP
&SYSTEM
  ibrav = 0, nat = 6, ntyp = 3
/
ATOMIC_SPECIES
Sb 121.76 Sb.upf
Y 88.91 Y.upf
Pr 140.91 Pr.upf
CELL_PARAMETERS angstrom
-4.230 1.176 0.716
-1.545 -6.051 0.810
4.145 2.991 5.762
ATOMIC_POSITIONS crystal
Sb 0.172 0.672 0.844
Sb 0.828 0.328 0.156
Sb 0.500 0.000 0.500
Y 0.165 0.165 0.830
Y 0.835 0.835 0.170
Pr 0.500 0.500 0.500
! ρ: 6.1 g cm⁻³
! Density of states at the Fermi level: 0.20 states/eV/atom
! Uncorrected energy: -37.1 eV per formula unit
! Magnetic moment: 0.000 μB/atom

***

(8)
! Pr3YSb4, relaxed, DFT GGA-PBE; values from VASP
&SYSTEM
  ibrav = 0, nat = 8, ntyp = 3
/
ATOMIC_SPECIES
Sb 121.76 Sb.upf
Y 88.91 Y.upf
Pr 140.91 Pr.upf
CELL_PARAMETERS angstrom
-2.178 0.325 -3.950
-2.521 -7.365 0.784
-5.170 4.889 3.252
ATOMIC_POSITIONS crystal
Sb 0.500 0.753 0.247
Sb 0.000 0.757 0.757
Sb 0.500 0.247 0.753
Sb 0.000 0.243 0.243
Y 0.500 0.000 0.000
Pr 0.000 0.000 0.500
Pr 0.000 0.500 0.000
Pr 0.500 0.500 0.500
! ρ: 6.4 g cm⁻³
! Density of states at the Fermi level: 0.12 states/eV/atom
! Uncorrected energy: -46.7 eV per formula unit
! Magnetic moment: 0.000 μB/atom